P.
Dy4TmMg7 PBE optimized geometry; total moment = 0.00 μB/atom
1.0
5.284 0.000 0.000
-2.642 4.576 0.000
0.000 0.000 13.192
Dy Tm Mg
4 1 7
direct
0.333 0.667 0.160
0.333 0.667 0.420
0.667 0.333 0.580
0.667 0.333 0.840
0.000 0.000 0.000
0.000 0.000 0.261
0.000 0.000 0.500
0.000 0.000 0.739
0.333 0.667 0.682
0.333 0.667 0.917
0.667 0.333 0.083
0.667 0.333 0.318



Q.
Dy4TmMg7 PBE optimized geometry; total moment = 0.00 μB/atom
1.0
5.710 -2.817 0.000
5.710 2.817 0.000
-4.933 0.000 10.429
Dy Tm Mg
4 1 7
direct
0.067 0.067 0.327
0.338 0.338 0.221
0.662 0.662 0.779
0.933 0.933 0.673
0.500 0.500 0.000
0.000 0.000 0.000
0.203 0.203 0.923
0.253 0.253 0.683
0.374 0.374 0.504
0.626 0.626 0.496
0.747 0.747 0.317
0.797 0.797 0.077



Each structure's energy above the most stable one, in meV per atom: P 0; Q 181.



P.
DyTmMg3 PBE optimized geometry; total moment = 0.00 μB/atom
1.0
1.653 -15.379 0.000
1.653 15.379 0.000
0.000 0.000 5.179
Dy Tm Mg
2 2 6
direct
0.074 0.926 0.750
0.926 0.074 0.250
0.220 0.780 0.250
0.780 0.220 0.750
0.326 0.674 0.250
0.377 0.623 0.750
0.476 0.524 0.750
0.524 0.476 0.250
0.623 0.377 0.250
0.674 0.326 0.750



Q.
DyTmMg3 PBE optimized geometry; total moment = 0.00 μB/atom
1.0
3.090 1.784 8.164
-3.090 1.784 8.164
0.000 -3.568 8.164
Dy Tm Mg
2 2 6
direct
0.068 0.068 0.068
0.932 0.932 0.932
0.335 0.335 0.335
0.665 0.665 0.665
0.111 0.621 0.621
0.379 0.379 0.889
0.379 0.889 0.379
0.621 0.111 0.621
0.621 0.621 0.111
0.889 0.379 0.379



Each structure's energy above the most stable one, in meV per atom: P 0; Q 75.



P.
Dy7Tm2Mg2 PBE optimized geometry; total moment = 0.00 μB/atom
1.0
4.803 -5.794 0.000
4.803 5.794 0.000
-2.578 0.000 6.128
Dy Tm Mg
7 2 2
direct
0.000 0.000 0.000
0.072 0.576 0.799
0.329 0.329 0.515
0.424 0.928 0.201
0.576 0.072 0.799
0.671 0.671 0.485
0.928 0.424 0.201
0.138 0.862 0.500
0.862 0.138 0.500
0.344 0.344 0.028
0.656 0.656 0.972



Q.
Dy7Tm2Mg2 PBE optimized geometry; total moment = 0.00 μB/atom
1.0
5.915 -5.486 0.000
5.915 5.486 0.000
-2.148 0.000 5.223
Dy Tm Mg
7 2 2
direct
0.000 0.000 0.000
0.015 0.602 0.815
0.222 0.222 0.672
0.398 0.985 0.185
0.602 0.015 0.815
0.778 0.778 0.328
0.985 0.398 0.185
0.220 0.780 0.500
0.780 0.220 0.500
0.444 0.444 0.215
0.556 0.556 0.785



Each structure's energy above the most stable one, in meV per atom: P 23; Q 0.



P.
Dy5Tm4Mg PBE optimized geometry; total moment = 0.00 μB/atom
1.0
3.521 0.000 0.000
0.000 3.521 0.000
0.000 0.000 24.249
Dy Tm Mg
5 4 1
direct
0.000 0.000 0.000
0.000 0.000 0.204
0.000 0.000 0.408
0.000 0.000 0.592
0.000 0.000 0.796
0.500 0.500 0.102
0.500 0.500 0.307
0.500 0.500 0.693
0.500 0.500 0.898
0.500 0.500 0.500



Q.
Dy5Tm4Mg PBE optimized geometry; total moment = 0.00 μB/atom
1.0
-5.042 5.042 3.084
5.042 -5.042 3.084
5.042 5.042 -3.084
Dy Tm Mg
5 4 1
direct
0.000 0.000 0.000
0.470 0.551 0.628
0.551 0.923 0.081
0.842 0.470 0.919
0.923 0.842 0.372
0.159 0.545 0.301
0.244 0.858 0.699
0.545 0.244 0.386
0.858 0.159 0.614
0.461 0.461 0.000



Each structure's energy above the most stable one, in meV per atom: P 0; Q 288.